w) {"formula": "Zn3BrN", "functional": "PBE-GGA", "state": "relaxed", "rho_g_cm3": 5.5, "total_magnetization_mub_per_cell": 0.00, "lattice_angstrom": [[-0.1248, -3.7669, 2.3355], [-2.2997, -1.9423, -3.2555], [3.7888, -1.3030, -1.8991]], "species": ["Zn", "Zn", "Zn", "Br", "N"], "frac_coords": [[0.0000, 0.5000, 0.0000], [0.0000, 0.0000, 0.5000], [0.5000, 0.0000, 0.0000], [0.5000, 0.5000, 0.5000], [0.0000, 0.0000, 0.0000]]}

***

x) {"formula": "Zn3BrN", "functional": "PBE-GGA", "state": "relaxed", "rho_g_cm3": 3.6, "total_magnetization_mub_per_cell": 0.00, "lattice_angstrom": [[5.1080, 0.0000, 0.0000], [0.0000, 5.1080, 0.0000], [0.0000, 0.0000, 5.1080]], "species": ["Zn", "Zn", "Zn", "Br", "N"], "frac_coords": [[0.0000, 0.5000, 0.0000], [0.0000, 0.0000, 0.5000], [0.5000, 0.0000, 0.0000], [0.0000, 0.0000, 0.0000], [0.5000, 0.5000, 0.5000]]}

***

Which structure is the least stable? The one labeled x).